(1)
NbNi: relaxed, PBE.

Cell lengths 2.797, 2.797, 4.321 Å; angles 90.00, 90.00, 120.00 degrees
Fractional positions:
Nb 0.667 0.333 0.750
Ni 0.333 0.667 0.250

Results
Size of the total moment ... 0.0012 μB/atom
DFT formation energy ... 0.075 eV/atom
SG ... No. 187

***

(2)
Nb2Ni: relaxed, PBE.

Cell lengths 7.548, 7.548, 7.548 Å; angles 60.00, 60.00, 60.00 degrees
Fractional positions:
Ni 0.500 0.500 0.500
Ni 0.250 0.250 0.250
Nb 0.875 0.375 0.375
Nb 0.375 0.875 0.375
Nb 0.375 0.375 0.375
Nb 0.375 0.375 0.875

Results
Size of the total moment ... 1.6983 μB/atom
DFT formation energy ... 3.003 eV/atom
SG ... No. 227